First-principles (PBE-GGA) data for an optimized crystal structure of Tb4Pb2Se, as listed in Alexandria via LeMat-Bulk.

POSCAR file:
```
Tb4Pb2Se
1.0
-3.5608 1.6142 -5.5570
-5.1021 -3.8583 2.1486
-1.8014 6.3225 7.0757
Tb Pb Se
8 4 2
direct
0.5115 0.4958 0.2542
0.0740 0.7500 0.8604
0.9260 0.2500 0.1396
0.5115 0.0042 0.2542
0.9230 0.2500 0.5726
0.4885 0.9958 0.7458
0.4885 0.5042 0.7458
0.0770 0.7500 0.4274
0.6789 0.7500 0.0422
0.3211 0.2500 0.9578
0.2997 0.2500 0.4500
0.7003 0.7500 0.5500
0.1592 0.7500 0.1631
0.8408 0.2500 0.8369
```

uncorrected formation energy = -0.69 eV/atom
E_tot = -4.896 eV/atom
space group = No. 11